Below is BaNaFeRe after structural relaxation, with properties calculated at the GGA-PBE level.

Unit cell a=7.0032 b=7.0032 c=7.0032 alpha=90.00 beta=90.00 gamma=90.00
Last column: nearest neighbours and their distance in Å.
Space group F-43m (No. 216)
Symmetry-distinct sites (fractional):
Ba (0.0000, 0.0000, 0.0000) [4 per cell]  4 Fe 3.03, 4 Na 3.03
Na (0.2500, 0.2500, 0.2500) [4 per cell]  4 Ba 3.03, 4 Re 3.03
Fe (0.2500, 0.2500, 0.7500) [4 per cell]  4 Ba 3.03, 4 Re 3.03
Re (0.0000, 0.0000, 0.5000) [4 per cell]  4 Fe 3.03, 4 Na 3.03

VASP energy = -18.7 eV per formula unit